(1)
! HgAu4 | OQMD via LeMat-Bulk | PBE-GGA | relaxed; values from VASP
&SYSTEM
  ibrav = 0, nat = 10, ntyp = 2
/
ATOMIC_SPECIES
Hg 200.59 Hg.upf
Au 196.97 Au.upf
CELL_PARAMETERS angstrom
7.5222 0.0000 0.0000
0.0000 7.5222 0.0000
0.0000 0.0000 3.4958
ATOMIC_POSITIONS crystal
Hg 0.0000 0.0000 0.0000
Hg 0.5000 0.5000 0.0000
Au 0.1372 0.3628 0.0000
Au 0.1607 0.6607 0.5000
Au 0.3393 0.1607 0.5000
Au 0.3628 0.8628 0.0000
Au 0.6372 0.1372 0.0000
Au 0.6607 0.8393 0.5000
Au 0.8393 0.3393 0.5000
Au 0.8628 0.6372 0.0000
! E_form ... 0.060 eV/atom



(2)
! HgAu7 | OQMD via LeMat-Bulk | PBE-GGA | relaxed; values from VASP
&SYSTEM
  ibrav = 0, nat = 16, ntyp = 2
/
ATOMIC_SPECIES
Hg 200.59 Hg.upf
Au 196.97 Au.upf
CELL_PARAMETERS angstrom
2.9024 0.0000 0.0000
0.0000 2.9024 0.0000
0.0000 0.0000 45.3090
ATOMIC_POSITIONS crystal
Hg 0.2500 0.2500 0.1424
Hg 0.7500 0.7500 0.8576
Au 0.2500 0.2500 0.2451
Au 0.2500 0.2500 0.3381
Au 0.2500 0.2500 0.4308
Au 0.2500 0.2500 0.5232
Au 0.2500 0.2500 0.6156
Au 0.2500 0.2500 0.7083
Au 0.2500 0.2500 0.8018
Au 0.7500 0.7500 0.1982
Au 0.7500 0.7500 0.2917
Au 0.7500 0.7500 0.3844
Au 0.7500 0.7500 0.4768
Au 0.7500 0.7500 0.5692
Au 0.7500 0.7500 0.6619
Au 0.7500 0.7500 0.7549
! E_form ... 0.038 eV/atom
! Energy relative to the lowest polymorph listed for this composition ... 0.000 eV/atom



(3)
! HgAu17 | OQMD via LeMat-Bulk | PBE-GGA | relaxed; values from VASP
&SYSTEM
  ibrav = 0, nat = 36, ntyp = 2
/
ATOMIC_SPECIES
Hg 200.59 Hg.upf
Au 196.97 Au.upf
CELL_PARAMETERS angstrom
5.7605 0.0000 0.0000
-2.8803 4.9888 0.0000
0.0000 0.0000 31.0931
ATOMIC_POSITIONS crystal
Hg 0.3333 0.6667 0.3420
Hg 0.6667 0.3333 0.6580
Au 0.0000 0.0000 0.0000
Au 0.0000 0.0000 0.2388
Au 0.0000 0.0000 0.7612
Au 0.0000 0.5000 0.0000
Au 0.0008 0.5004 0.2382
Au 0.1665 0.3329 0.1590
Au 0.1664 0.3328 0.9208
Au 0.1665 0.8335 0.1590
Au 0.1664 0.8336 0.9208
Au 0.1671 0.3341 0.6817
Au 0.1671 0.8329 0.6817
Au 0.3328 0.1664 0.0792
Au 0.3329 0.1665 0.8410
Au 0.3333 0.6667 0.0795
Au 0.3333 0.6667 0.8424
Au 0.3341 0.1671 0.3183
Au 0.5000 0.0000 0.0000
Au 0.5004 0.0008 0.7618
Au 0.5000 0.5000 0.0000
Au 0.4996 0.5004 0.2382
Au 0.5004 0.4996 0.7618
Au 0.4996 0.9992 0.2382
Au 0.6659 0.8329 0.6817
Au 0.6667 0.3333 0.1576
Au 0.6667 0.3333 0.9205
Au 0.6671 0.8335 0.1590
Au 0.6672 0.8336 0.9208
Au 0.8329 0.1671 0.3183
Au 0.8329 0.6659 0.3183
Au 0.8336 0.1664 0.0792
Au 0.8335 0.1665 0.8410
Au 0.8336 0.6672 0.0792
Au 0.8335 0.6671 0.8410
Au 0.9992 0.4996 0.7618
! E_form ... 0.050 eV/atom
! Energy relative to the lowest polymorph listed for this composition ... 0.000 eV/atom



(4)
! Hg2Au9 | OQMD via LeMat-Bulk | PBE-GGA | relaxed; values from VASP
&SYSTEM
  ibrav = 0, nat = 11, ntyp = 2
/
ATOMIC_SPECIES
Hg 200.59 Hg.upf
Au 196.97 Au.upf
CELL_PARAMETERS angstrom
2.9132 0.0000 0.0000
-1.4566 2.5229 0.0000
0.0000 0.0000 34.4205
ATOMIC_POSITIONS crystal
Hg 0.3333 0.6667 0.3668
Hg 0.6667 0.3333 0.6332
Au 0.0000 0.0000 0.0000
Au 0.0000 0.0000 0.2126
Au 0.0000 0.0000 0.7874
Au 0.3333 0.6667 0.1417
Au 0.3333 0.6667 0.7153
Au 0.3333 0.6667 0.9291
Au 0.6667 0.3333 0.0709
Au 0.6667 0.3333 0.2847
Au 0.6667 0.3333 0.8583
! E_form ... 0.050 eV/atom



(5)
! HgAu8 | OQMD via LeMat-Bulk | PBE-GGA | relaxed; values from VASP
&SYSTEM
  ibrav = 0, nat = 18, ntyp = 2
/
ATOMIC_SPECIES
Hg 200.59 Hg.upf
Au 196.97 Au.upf
CELL_PARAMETERS angstrom
4.5398 -2.0145 0.0000
4.5398 2.0145 0.0000
-0.0138 0.0000 29.5165
ATOMIC_POSITIONS crystal
Hg 0.0522 0.0522 0.2838
Hg 0.9478 0.9478 0.7162
Au 0.0491 0.0491 0.9507
Au 0.1461 0.1461 0.8522
Au 0.1543 0.1543 0.1797
Au 0.2489 0.2489 0.7521
Au 0.2517 0.2517 0.0813
Au 0.3501 0.3501 0.9835
Au 0.4477 0.4477 0.8848
Au 0.4504 0.4504 0.2149
Au 0.5496 0.5496 0.7851
Au 0.5523 0.5523 0.1152
Au 0.6499 0.6499 0.0165
Au 0.7483 0.7483 0.9187
Au 0.7511 0.7511 0.2479
Au 0.8457 0.8457 0.8203
Au 0.8539 0.8539 0.1478
Au 0.9509 0.9509 0.0493
! E_form ... 0.076 eV/atom



(6)
! HgAu10 | OQMD via LeMat-Bulk | PBE-GGA | relaxed; values from VASP
&SYSTEM
  ibrav = 0, nat = 22, ntyp = 2
/
ATOMIC_SPECIES
Hg 200.59 Hg.upf
Au 196.97 Au.upf
CELL_PARAMETERS angstrom
4.5378 -2.0160 0.0000
4.5378 2.0160 0.0000
-0.0987 0.0000 32.9629
ATOMIC_POSITIONS crystal
Hg 0.1521 0.1521 0.3143
Hg 0.8479 0.8479 0.6857
Au 0.0471 0.0471 0.8083
Au 0.0514 0.0514 0.1032
Au 0.1491 0.1491 0.7182
Au 0.1504 0.1504 0.0147
Au 0.2490 0.2490 0.9266
Au 0.2533 0.2533 0.2204
Au 0.3480 0.3480 0.8377
Au 0.3517 0.3517 0.1319
Au 0.4504 0.4504 0.7481
Au 0.4511 0.4511 0.0440
Au 0.5489 0.5489 0.9560
Au 0.5496 0.5496 0.2519
Au 0.6483 0.6483 0.8681
Au 0.6520 0.6520 0.1623
Au 0.7467 0.7467 0.7796
Au 0.7510 0.7510 0.0734
Au 0.8496 0.8496 0.9853
Au 0.8509 0.8509 0.2818
Au 0.9486 0.9486 0.8968
Au 0.9529 0.9529 0.1917
! E_form ... 0.063 eV/atom



(7)
! HgAu7 | OQMD via LeMat-Bulk | PBE-GGA | relaxed; values from VASP
&SYSTEM
  ibrav = 0, nat = 16, ntyp = 2
/
ATOMIC_SPECIES
Hg 200.59 Hg.upf
Au 196.97 Au.upf
CELL_PARAMETERS angstrom
2.8815 0.0000 0.0000
0.0000 3.9209 0.0000
0.0000 0.0000 34.3289
ATOMIC_POSITIONS crystal
Hg 0.2500 0.2500 0.1449
Hg 0.7500 0.7500 0.8551
Au 0.2500 0.2500 0.2469
Au 0.2500 0.2500 0.3390
Au 0.2500 0.2500 0.4310
Au 0.2500 0.2500 0.5230
Au 0.2500 0.2500 0.6149
Au 0.2500 0.2500 0.7069
Au 0.2500 0.2500 0.8000
Au 0.7500 0.7500 0.2000
Au 0.7500 0.7500 0.2931
Au 0.7500 0.7500 0.3851
Au 0.7500 0.7500 0.4770
Au 0.7500 0.7500 0.5690
Au 0.7500 0.7500 0.6610
Au 0.7500 0.7500 0.7531
! E_form ... 0.050 eV/atom
! Energy relative to the lowest polymorph listed for this composition ... 0.012 eV/atom



(8)
! Hg2Au | OQMD via LeMat-Bulk | PBE-GGA | relaxed; values from VASP
&SYSTEM
  ibrav = 0, nat = 12, ntyp = 2
/
ATOMIC_SPECIES
Hg 200.59 Hg.upf
Au 196.97 Au.upf
CELL_PARAMETERS angstrom
0.0000 4.8093 9.7086
2.8401 0.0000 9.7086
2.8401 4.8093 0.0000
ATOMIC_POSITIONS crystal
Hg 0.0489 0.0489 0.2011
Hg 0.2011 0.2011 0.0489
Hg 0.2011 0.5489 0.2011
Hg 0.4511 0.7989 0.4511
Hg 0.5489 0.2011 0.5489
Hg 0.7989 0.4511 0.7989
Hg 0.7989 0.7989 0.9511
Hg 0.9511 0.9511 0.7989
Au 0.2499 0.2499 0.5001
Au 0.5001 0.5001 0.2499
Au 0.4999 0.4999 0.7501
Au 0.7501 0.7501 0.4999
! E_form ... 0.045 eV/atom



(9)
! Hg2Au | OQMD via LeMat-Bulk | PBE-GGA | relaxed; values from VASP
&SYSTEM
  ibrav = 0, nat = 6, ntyp = 2
/
ATOMIC_SPECIES
Hg 200.59 Hg.upf
Au 196.97 Au.upf
CELL_PARAMETERS angstrom
0.0000 4.0487 4.0487
4.0487 0.0000 4.0487
4.0487 4.0487 0.0000
ATOMIC_POSITIONS crystal
Hg 0.0000 0.0000 0.0000
Hg 0.0000 0.0000 0.5000
Hg 0.0000 0.5000 0.0000
Hg 0.5000 0.0000 0.0000
Au 0.3750 0.3750 0.3750
Au 0.6250 0.6250 0.6250
! E_form ... 0.396 eV/atom



(10)
! HgAu17 | OQMD via LeMat-Bulk | PBE-GGA | relaxed; values from VASP
&SYSTEM
  ibrav = 0, nat = 36, ntyp = 2
/
ATOMIC_SPECIES
Hg 200.59 Hg.upf
Au 196.97 Au.upf
CELL_PARAMETERS angstrom
4.9944 0.0000 0.0000
0.0000 5.7931 0.0000
-0.0708 0.0000 33.2465
ATOMIC_POSITIONS crystal
Hg 0.1671 0.2500 0.3116
Hg 0.8329 0.7500 0.6884
Au 0.0000 0.0000 0.0000
Au 0.9998 0.0018 0.2205
Au 0.9998 0.4982 0.2205
Au 0.0000 0.5000 0.0000
Au 0.0002 0.5018 0.7795
Au 0.0002 0.9982 0.7795
Au 0.1645 0.7500 0.0734
Au 0.1653 0.7500 0.2948
Au 0.1655 0.7500 0.8536
Au 0.1655 0.2500 0.0734
Au 0.1686 0.2500 0.8537
Au 0.3322 0.9996 0.9268
Au 0.3322 0.5004 0.9268
Au 0.3328 0.9995 0.1470
Au 0.3332 0.0000 0.7045
Au 0.3328 0.5005 0.1470
Au 0.3332 0.5000 0.7045
Au 0.4988 0.2500 0.2205
Au 0.4987 0.7500 0.2207
Au 0.4998 0.2500 0.9998
Au 0.5002 0.7500 0.0002
Au 0.5013 0.2500 0.7793
Au 0.5012 0.7500 0.7795
Au 0.6668 0.0000 0.2955
Au 0.6672 0.0005 0.8530
Au 0.6668 0.5000 0.2955
Au 0.6672 0.4995 0.8530
Au 0.6678 0.0004 0.0732
Au 0.6678 0.4996 0.0732
Au 0.8314 0.7500 0.1463
Au 0.8345 0.7500 0.9266
Au 0.8345 0.2500 0.1464
Au 0.8347 0.2500 0.7052
Au 0.8355 0.2500 0.9266
! E_form ... 0.052 eV/atom
! Energy relative to the lowest polymorph listed for this composition ... 0.002 eV/atom



(11)
! Nd2HoMg3Hg2Au | OQMD via LeMat-Bulk | PBE-GGA | relaxed; values from VASP
&SYSTEM
  ibrav = 0, nat = 9, ntyp = 5
/
ATOMIC_SPECIES
Nd 144.24 Nd.upf
Ho 164.93 Ho.upf
Mg 24.30 Mg.upf
Hg 200.59 Hg.upf
Au 196.97 Au.upf
CELL_PARAMETERS angstrom
4.2528 0.0000 0.0000
0.0000 6.7679 3.9189
0.0000 -6.7679 3.9189
ATOMIC_POSITIONS crystal
Nd 0.0000 0.2028 0.7972
Nd 0.0000 0.7972 0.2028
Ho 0.0000 0.6059 0.6059
Mg 0.5000 0.2059 0.4432
Mg 0.5000 0.4432 0.2059
Mg 0.5000 0.9632 0.9632
Hg 0.5000 0.5389 0.8622
Hg 0.5000 0.8622 0.5389
Au 0.0000 0.2088 0.2088
! Size of the total moment ... 0.06 Bohr magnetons per cell
! DFT total energy ... -26.986 eV/cell



(12)
! PrHo2Mg3Hg2Au | OQMD via LeMat-Bulk | PBE-GGA | relaxed; values from VASP
&SYSTEM
  ibrav = 0, nat = 9, ntyp = 5
/
ATOMIC_SPECIES
Pr 140.91 Pr.upf
Ho 164.93 Ho.upf
Mg 24.30 Mg.upf
Hg 200.59 Hg.upf
Au 196.97 Au.upf
CELL_PARAMETERS angstrom
4.2288 0.0000 0.0000
0.0000 6.7491 3.8656
0.0000 -6.7491 3.8656
ATOMIC_POSITIONS crystal
Pr 0.0000 0.0000 0.0000
Ho 0.0000 0.4073 0.8105
Ho 0.0000 0.8105 0.4073
Mg 0.5000 0.1678 0.4095
Mg 0.5000 0.4095 0.1678
Mg 0.5000 0.6473 0.6473
Hg 0.5000 0.0771 0.7330
Hg 0.5000 0.7330 0.0771
Au 0.0000 0.4144 0.4144
! Size of the total moment ... 0.30 Bohr magnetons per cell
! DFT total energy ... -26.814 eV/cell



(13)
! HoTm2Mg3Hg2Au | OQMD via LeMat-Bulk | PBE-GGA | relaxed; values from VASP
&SYSTEM
  ibrav = 0, nat = 9, ntyp = 5
/
ATOMIC_SPECIES
Ho 164.93 Ho.upf
Tm 168.93 Tm.upf
Mg 24.30 Mg.upf
Hg 200.59 Hg.upf
Au 196.97 Au.upf
CELL_PARAMETERS angstrom
4.1563 0.0000 0.0000
0.0000 6.6305 3.8174
0.0000 -6.6305 3.8174
ATOMIC_POSITIONS crystal
Ho 0.0000 0.0000 0.0000
Tm 0.0000 0.4051 0.8094
Tm 0.0000 0.8094 0.4051
Mg 0.5000 0.1618 0.4057
Mg 0.5000 0.4057 0.1618
Mg 0.5000 0.6489 0.6489
Hg 0.5000 0.0726 0.7372
Hg 0.5000 0.7372 0.0726
Au 0.0000 0.4068 0.4068
! Size of the total moment ... 0.02 Bohr magnetons per cell
! DFT total energy ... -26.452 eV/cell



(14)
! YHo2Mg3Hg2Au | OQMD via LeMat-Bulk | PBE-GGA | relaxed; values from VASP
&SYSTEM
  ibrav = 0, nat = 9, ntyp = 5
/
ATOMIC_SPECIES
Y 88.91 Y.upf
Ho 164.93 Ho.upf
Mg 24.30 Mg.upf
Hg 200.59 Hg.upf
Au 196.97 Au.upf
CELL_PARAMETERS angstrom
4.1718 0.0000 0.0000
0.0000 6.6593 3.8366
0.0000 -6.6593 3.8366
ATOMIC_POSITIONS crystal
Y 0.0000 0.0000 0.0000
Ho 0.0000 0.4049 0.8093
Ho 0.0000 0.8093 0.4049
Mg 0.5000 0.1622 0.4053
Mg 0.5000 0.4053 0.1622
Mg 0.5000 0.6479 0.6479
Hg 0.5000 0.0724 0.7369
Hg 0.5000 0.7369 0.0724
Au 0.0000 0.4069 0.4069
! Size of the total moment ... 0.01 Bohr magnetons per cell
! DFT total energy ... -28.666 eV/cell



(15)
! Y2HoMg3Hg2Au | OQMD via LeMat-Bulk | PBE-GGA | relaxed; values from VASP
&SYSTEM
  ibrav = 0, nat = 9, ntyp = 5
/
ATOMIC_SPECIES
Y 88.91 Y.upf
Ho 164.93 Ho.upf
Mg 24.30 Mg.upf
Hg 200.59 Hg.upf
Au 196.97 Au.upf
CELL_PARAMETERS angstrom
4.1826 0.0000 0.0000
0.0000 6.6620 3.8520
0.0000 -6.6620 3.8520
ATOMIC_POSITIONS crystal
Y 0.0000 0.2023 0.7977
Y 0.0000 0.7977 0.2023
Ho 0.0000 0.6063 0.6063
Mg 0.5000 0.2025 0.4452
Mg 0.5000 0.4452 0.2025
Mg 0.5000 0.9598 0.9598
Hg 0.5000 0.5364 0.8675
Hg 0.5000 0.8675 0.5364
Au 0.0000 0.2043 0.2043
! Size of the total moment ... 0.00 Bohr magnetons per cell
! DFT total energy ... -30.627 eV/cell



(16)
! TbHo2Hg3PdAu2 | OQMD via LeMat-Bulk | PBE-GGA | relaxed; values from VASP
&SYSTEM
  ibrav = 0, nat = 9, ntyp = 5
/
ATOMIC_SPECIES
Tb 158.93 Tb.upf
Ho 164.93 Ho.upf
Hg 200.59 Hg.upf
Pd 106.42 Pd.upf
Au 196.97 Au.upf
CELL_PARAMETERS angstrom
3.7494 0.0000 0.0000
0.0000 6.8330 3.9390
0.0000 -6.8330 3.9390
ATOMIC_POSITIONS crystal
Tb 0.0000 0.0000 0.0000
Ho 0.0000 0.2148 0.6071
Ho 0.0000 0.6071 0.2148
Hg 0.5000 0.3401 0.3401
Hg 0.5000 0.6072 0.8742
Hg 0.5000 0.8742 0.6072
Pd 0.0000 0.6067 0.6067
Au 0.5000 0.2749 0.9403
Au 0.5000 0.9403 0.2749
! Size of the total moment ... 0.02 Bohr magnetons per cell
! E_form ... -0.672 eV/atom



(17)
! PrHoHg2Au4 | OQMD via LeMat-Bulk | PBE-GGA | relaxed; values from VASP
&SYSTEM
  ibrav = 0, nat = 8, ntyp = 4
/
ATOMIC_SPECIES
Pr 140.91 Pr.upf
Ho 164.93 Ho.upf
Hg 200.59 Hg.upf
Au 196.97 Au.upf
CELL_PARAMETERS angstrom
4.9899 0.0000 0.0000
0.0000 4.9899 0.0000
0.0000 0.0000 7.0505
ATOMIC_POSITIONS crystal
Pr 0.0000 0.0000 0.0000
Ho 0.5000 0.5000 0.5000
Hg 0.0000 0.0000 0.5000
Hg 0.5000 0.5000 0.0000
Au 0.0000 0.5000 0.2641
Au 0.0000 0.5000 0.7359
Au 0.5000 0.0000 0.2641
Au 0.5000 0.0000 0.7359
! Size of the total moment ... 0.01 Bohr magnetons per cell
! E_form ... -0.587 eV/atom



(18)
! HoZrHg2Au4 | OQMD via LeMat-Bulk | PBE-GGA | relaxed; values from VASP
&SYSTEM
  ibrav = 0, nat = 8, ntyp = 4
/
ATOMIC_SPECIES
Ho 164.93 Ho.upf
Zr 91.22 Zr.upf
Hg 200.59 Hg.upf
Au 196.97 Au.upf
CELL_PARAMETERS angstrom
4.8550 0.0000 0.0000
0.0000 4.8550 0.0000
0.0000 0.0000 6.8491
ATOMIC_POSITIONS crystal
Ho 0.0000 0.0000 0.0000
Zr 0.5000 0.5000 0.5000
Hg 0.0000 0.0000 0.5000
Hg 0.5000 0.5000 0.0000
Au 0.0000 0.5000 0.2607
Au 0.0000 0.5000 0.7393
Au 0.5000 0.0000 0.2607
Au 0.5000 0.0000 0.7393
! Size of the total moment ... 0.00 Bohr magnetons per cell
! E_form ... -0.465 eV/atom



(19)
! La3In2HgPdAu2 | OQMD via LeMat-Bulk | PBE-GGA | relaxed; values from VASP
&SYSTEM
  ibrav = 0, nat = 9, ntyp = 5
/
ATOMIC_SPECIES
La 138.91 La.upf
In 114.82 In.upf
Hg 200.59 Hg.upf
Pd 106.42 Pd.upf
Au 196.97 Au.upf
CELL_PARAMETERS angstrom
4.0978 0.0000 0.0000
0.0000 6.8717 4.0260
0.0000 -6.8717 4.0260
ATOMIC_POSITIONS crystal
La 0.0000 0.0000 0.0000
La 0.0000 0.1820 0.5803
La 0.0000 0.5803 0.1820
In 0.5000 0.5902 0.8357
In 0.5000 0.8357 0.5902
Hg 0.5000 0.3321 0.3321
Pd 0.0000 0.5991 0.5991
Au 0.5000 0.2520 0.9095
Au 0.5000 0.9095 0.2520
! Size of the total moment ... 0.01 Bohr magnetons per cell
! DFT total energy ... -39.171 eV/cell